No. 1
# LaSm4Ho2Er PBE optimized geometry
data_LaSm4Ho2Er
_cell_length_a 6.2174
_cell_length_b 3.6142
_cell_length_c 11.9481
_cell_angle_alpha 90.00
_cell_angle_beta 100.14
_cell_angle_gamma 90.00
_space_group_name_H-M_alt 'P 1 2/m 1'
_space_group_IT_number 10
loop_
_space_group_symop_operation_xyz
'x,y,z'
'-x,-y,-z'
'-x,y,-z'
'x,-y,z'
loop_
_atom_site_label
_atom_site_type_symbol
_atom_site_fract_x
_atom_site_fract_y
_atom_site_fract_z
_atom_site_occupancy
La1 La 0.0000 0.0000 0.0000 1
Sm1 Sm 0.2492 0.0000 0.7473 1
Sm2 Sm 0.2519 0.5000 0.2548 1
Ho1 Ho 0.5000 0.0000 0.5000 1
Ho2 Ho 0.5000 0.5000 0.0000 1
Er1 Er 0.0000 0.5000 0.5000 1
# Calculated total energy in eV/atom: -4.6691



No. 2
# Cd2PtAu4 PBE optimized geometry
data_Cd2PtAu4
_cell_length_a 4.9511
_cell_length_b 8.0049
_cell_length_c 13.6303
_cell_angle_alpha 90.00
_cell_angle_beta 90.00
_cell_angle_gamma 90.00
_space_group_name_H-M_alt 'P b c a'
_space_group_IT_number 61
loop_
_space_group_symop_operation_xyz
'x,y,z'
'-x,-y,-z'
'-x+1/2,-y,z+1/2'
'x+1/2,y,-z+1/2'
'x+1/2,-y+1/2,-z'
'-x+1/2,y+1/2,z'
'-x,y+1/2,-z+1/2'
'x,-y+1/2,z+1/2'
loop_
_atom_site_label
_atom_site_type_symbol
_atom_site_fract_x
_atom_site_fract_y
_atom_site_fract_z
_atom_site_occupancy
Cd1 Cd 0.0012 0.1422 0.0883 1
Pt1 Pt 0.0000 0.0000 0.5000 1
Au1 Au 0.0023 0.0391 0.7002 1
Au2 Au 0.0018 0.2050 0.8795 1
# Calculated total energy in eV/atom: -3.1012



No. 3
# LiCeNiPb PBE optimized geometry
data_LiCeNiPb
_cell_length_a 6.7779
_cell_length_b 6.7779
_cell_length_c 6.7779
_cell_angle_alpha 90.00
_cell_angle_beta 90.00
_cell_angle_gamma 90.00
_space_group_name_H-M_alt 'F -4 3 m'
_space_group_IT_number 216
_space_group_name_Hall 'F -4 2 3'
loop_
_atom_site_label
_atom_site_type_symbol
_atom_site_fract_x
_atom_site_fract_y
_atom_site_fract_z
_atom_site_occupancy
Li1 Li 0.0000 0.0000 0.0000 1
Ce1 Ce 0.2500 0.2500 0.7500 1
Ni1 Ni 0.0000 0.0000 0.5000 1
Pb1 Pb 0.2500 0.2500 0.2500 1
# Calculated total energy in eV/atom: -4.6462



No. 4
# YTeSe PBE optimized geometry
data_YTeSe
_cell_length_a 4.8045
_cell_length_b 4.8045
_cell_length_c 4.2425
_cell_angle_alpha 90.00
_cell_angle_beta 90.00
_cell_angle_gamma 120.00
_space_group_name_H-M_alt 'P -6 m 2'
_space_group_IT_number 187
_space_group_name_Hall 'P -6 2'
loop_
_atom_site_label
_atom_site_type_symbol
_atom_site_fract_x
_atom_site_fract_y
_atom_site_fract_z
_atom_site_occupancy
Y1 Y 0.0000 0.0000 0.0000 1
Te1 Te 0.3333 0.6667 0.5000 1
Se1 Se 0.6667 0.3333 0.0000 1
# Raw formation energy in meV/atom: -1063.9



No. 5
# YGa2Ge PBE optimized geometry
data_YGa2Ge
_cell_length_a 4.0194
_cell_length_b 10.7196
_cell_length_c 7.5771
_cell_angle_alpha 90.00
_cell_angle_beta 90.00
_cell_angle_gamma 90.00
_space_group_name_H-M_alt 'C m c m'
_space_group_IT_number 63
_space_group_name_Hall '-C 2c 2'
loop_
_atom_site_label
_atom_site_type_symbol
_atom_site_fract_x
_atom_site_fract_y
_atom_site_fract_z
_atom_site_occupancy
Y1 Y 0.0000 0.0638 0.2500 1
Ga1 Ga 0.0000 0.3800 0.0620 1
Ge1 Ge 0.0000 0.2267 0.7500 1
# Calculated total energy in eV/atom: -4.6829



No. 6
# Co4Au5 PBE optimized geometry
data_Co4Au5
_cell_length_a 8.3634
_cell_length_b 8.3634
_cell_length_c 3.9233
_cell_angle_alpha 90.00
_cell_angle_beta 90.00
_cell_angle_gamma 90.00
_space_group_name_H-M_alt 'I 4/m m m'
_space_group_IT_number 139
_space_group_name_Hall '-I 4 2'
loop_
_atom_site_label
_atom_site_type_symbol
_atom_site_fract_x
_atom_site_fract_y
_atom_site_fract_z
_atom_site_occupancy
Co1 Co 0.0000 0.3614 0.0000 1
Au1 Au 0.0000 0.0000 0.0000 1
Au2 Au 0.1710 0.1710 0.5000 1
# Calculated total energy in eV/atom: -4.7854



No. 7
# KSbSeN2 PBE optimized geometry
data_KSbSeN2
_cell_length_a 4.3142
_cell_length_b 4.3142
_cell_length_c 5.4581
_cell_angle_alpha 90.00
_cell_angle_beta 90.00
_cell_angle_gamma 90.00
_space_group_name_H-M_alt 'P 4/m m m'
_space_group_IT_number 123
_space_group_name_Hall '-P 4 2'
loop_
_atom_site_label
_atom_site_type_symbol
_atom_site_fract_x
_atom_site_fract_y
_atom_site_fract_z
_atom_site_occupancy
K1 K 0.0000 0.0000 0.0000 1
Sb1 Sb 0.5000 0.5000 0.5000 1
Se1 Se 0.5000 0.5000 0.0000 1
N1 N 0.0000 0.5000 0.5000 1
# Raw formation energy in meV/atom: 806.6



Number 1: magnetic moment 0.00 μB per formula unit. Number 2: magnetic moment 0.00 μB per formula unit. Number 3: magnetic moment 0.91 μB per formula unit. Number 4: magnetic moment 0.00 μB per formula unit. Number 5: magnetic moment 0.00 μB per formula unit. Number 6: magnetic moment 7.52 μB per formula unit. Number 7: magnetic moment 2.30 μB per formula unit.